{"formula": "Na3Ce2ThTe6", "functional": "GGA-PBE", "state": "optimized geometry", "raw_formation_energy_ev_per_atom": -1.207, "cell": [[3.9241, -6.7956, 0.0000], [3.9241, 6.7956, 0.0000], [-2.6191, 0.0000, 7.5865]], "species": ["Na", "Na", "Na", "Ce", "Ce", "Th", "Te", "Te", "Te", "Te", "Te", "Te"], "fractional_positions": [[0.0000, 0.0000, 0.0000], [0.3325, 0.6675, 0.0000], [0.6675, 0.3325, 0.0000], [0.1666, 0.8334, 0.5000], [0.8334, 0.1666, 0.5000], [0.5000, 0.5000, 0.5000], [0.0908, 0.4193, 0.2578], [0.2521, 0.2521, 0.7416], [0.4193, 0.0908, 0.2578], [0.5807, 0.9092, 0.7422], [0.7479, 0.7479, 0.2584], [0.9092, 0.5807, 0.7422]]}